The following is a PBE-GGA calculation of a relaxed structure of Sc3NiAs, from Alexandria.

Properties
Polymorph energy (0 for the lowest one) ... 0 meV/atom
Calculated density ... 4.06 g/cm³
Symmetry ... Pm-3m, No. 221

POSCAR file:
```
Sc3NiAs
1.0
-3.2584 3.1087 1.6317
-2.1538 -0.0120 -4.2784
-2.7726 -3.6441 1.4060
Sc As Ni
3 1 1
Direct
0.0000 0.5000 0.0000
0.5000 0.0000 0.0000
0.0000 0.0000 0.5000
0.5000 0.5000 0.5000
0.0000 0.0000 0.0000
```

The following is a PBE-GGA calculation of a relaxed structure of ScNi4As2, from Alexandria.

Properties
Calculated density ... 7.53 g/cm³
Symmetry ... P4_2/mnm, No. 136
E ... -85.8 eV per cell

POSCAR file:
```
ScNi4As2
1.0
7.0983 0.0000 0.0000
0.0000 7.0983 0.0000
0.0000 0.0000 3.7591
Ni As Sc
8 4 2
Direct
0.9101 0.6547 0.0000
0.3453 0.0899 0.0000
0.0899 0.3453 0.0000
0.6547 0.9101 0.0000
0.8453 0.4101 0.5000
0.4101 0.8453 0.5000
0.5899 0.1547 0.5000
0.1547 0.5899 0.5000
0.7830 0.2170 0.0000
0.2830 0.2830 0.5000
0.7170 0.7170 0.5000
0.2170 0.7830 0.0000
0.5000 0.5000 0.0000
0.0000 0.0000 0.5000
```

The following is a PBE-GGA calculation of a relaxed structure of ScNi2As, from Alexandria.

Properties
Calculated density ... 6.46 g/cm³
Symmetry ... Pm, No. 6
E ... -24.4 eV per cell

POSCAR file:
```
ScNi2As
1.0
-0.7696 3.5223 -1.6629
-2.0780 0.8886 2.8437
2.3252 2.1004 3.3727
Ni Sc As
2 1 1
Direct
0.5000 0.2307 0.1631
0.0000 0.8039 0.0163
0.0000 0.5253 0.5758
0.5000 0.9400 0.7448
```

The following is a PBE-GGA calculation of a relaxed structure of Sc2NiAs, from Alexandria.

Properties
Calculated density ... 5.00 g/cm³
Symmetry ... P4mm, No. 99
E ... -24.5 eV per cell

POSCAR file:
```
Sc2NiAs
1.0
-0.9399 0.3151 -3.0378
2.3659 -1.9349 -0.9327
-4.3898 -5.7356 0.7633
Sc As Ni
2 1 1
Direct
0.5000 0.5000 0.2935
0.0000 0.0000 0.9390
0.0000 0.0000 0.5501
0.5000 0.5000 0.7174
```

The following is a PBE-GGA calculation of a relaxed structure of Sc2NiAs2, from Alexandria.

Properties
Calculated density ... 5.82 g/cm³
Symmetry ... P4/mbm, No. 127
E ... -64.1 eV per cell

POSCAR file:
```
Sc2NiAs2
1.0
-0.4159 6.0235 2.3385
-6.4599 -0.3357 -0.2841
-0.0897 -1.4754 3.7845
As Ni Sc
4 2 4
Direct
0.1422 0.3578 0.0000
0.8578 0.6422 0.0000
0.6422 0.1422 0.0000
0.3578 0.8578 0.0000
0.5000 0.5000 0.0000
0.0000 0.0000 0.0000
0.3295 0.1705 0.5000
0.8295 0.3295 0.5000
0.6705 0.8295 0.5000
0.1705 0.6705 0.5000
```

The following is a PBE-GGA calculation of a relaxed structure of Sc8Ni2As, from Alexandria.

Properties
Calculated density ... 3.87 g/cm³
Symmetry ... Cm, No. 8
E ... -70.4 eV per cell

POSCAR file:
```
Sc8Ni2As
1.0
5.6003 0.1015 -0.9111
-1.7757 6.1572 -2.5964
-0.1151 -0.1150 6.9122
Ni Sc As
2 8 1
Direct
0.5024 0.6940 0.3214
0.5024 0.3214 0.6940
0.5832 0.0799 0.3412
0.3680 0.6540 0.9222
0.3680 0.9222 0.6540
0.9755 0.7750 0.2228
0.9755 0.2228 0.7750
0.1713 0.3767 0.3767
0.8053 0.6401 0.6401
0.5832 0.3412 0.0799
0.1648 0.0065 0.0065
```

The following is a PBE-GGA calculation of a relaxed structure of Sc4NiAs, from Alexandria.

Properties
Calculated density ... 4.17 g/cm³
Symmetry ... F-43m, No. 216
E ... -33.6 eV per cell

POSCAR file:
```
Sc4NiAs
1.0
4.2655 -3.6087 0.4963
-1.0202 -5.4841 0.5898
1.1815 -3.5389 -4.1885
Sc As Ni
4 1 1
Direct
0.8751 0.3750 0.3750
0.3750 0.3750 0.8751
0.3750 0.3750 0.3750
0.3750 0.8751 0.3750
0.7500 0.7500 0.7500
0.0000 0.0000 0.0000
```

The following is a PBE-GGA calculation of a relaxed structure of ScNi2As, from Alexandria.

Properties
Calculated density ... 6.66 g/cm³
Symmetry ... C2/m, No. 12
E ... -23.6 eV per cell

POSCAR file:
```
ScNi2As
1.0
5.0816 -0.0071 -0.0119
-2.2464 4.5581 -0.0119
0.8658 1.3898 2.5495
Ni As Sc
2 1 1
Direct
0.5000 0.5000 0.0000
0.0000 0.0000 0.0000
0.0000 0.5000 0.5000
0.5000 0.0000 0.5000
```

Repeat the fourth record exactly.
The following is a PBE-GGA calculation of a relaxed structure of Sc2NiAs, from Alexandria.

Properties
Calculated density ... 5.00 g/cm³
Symmetry ... P4mm, No. 99
E ... -24.5 eV per cell

POSCAR file:
```
Sc2NiAs
1.0
-0.9399 0.3151 -3.0378
2.3659 -1.9349 -0.9327
-4.3898 -5.7356 0.7633
Sc As Ni
2 1 1
Direct
0.5000 0.5000 0.2935
0.0000 0.0000 0.9390
0.0000 0.0000 0.5501
0.5000 0.5000 0.7174
```

Copy entry 6 word for word.
The following is a PBE-GGA calculation of a relaxed structure of Sc8Ni2As, from Alexandria.

Properties
Calculated density ... 3.87 g/cm³
Symmetry ... Cm, No. 8
E ... -70.4 eV per cell

POSCAR file:
```
Sc8Ni2As
1.0
5.6003 0.1015 -0.9111
-1.7757 6.1572 -2.5964
-0.1151 -0.1150 6.9122
Ni Sc As
2 8 1
Direct
0.5024 0.6940 0.3214
0.5024 0.3214 0.6940
0.5832 0.0799 0.3412
0.3680 0.6540 0.9222
0.3680 0.9222 0.6540
0.9755 0.7750 0.2228
0.9755 0.2228 0.7750
0.1713 0.3767 0.3767
0.8053 0.6401 0.6401
0.5832 0.3412 0.0799
0.1648 0.0065 0.0065
```

calculated density of number 1 (Sc3NiAs)?
4.06 g/cm³

Repeat the seventh record exactly.
The following is a PBE-GGA calculation of a relaxed structure of Sc4NiAs, from Alexandria.

Properties
Calculated density ... 4.17 g/cm³
Symmetry ... F-43m, No. 216
E ... -33.6 eV per cell

POSCAR file:
```
Sc4NiAs
1.0
4.2655 -3.6087 0.4963
-1.0202 -5.4841 0.5898
1.1815 -3.5389 -4.1885
Sc As Ni
4 1 1
Direct
0.8751 0.3750 0.3750
0.3750 0.3750 0.8751
0.3750 0.3750 0.3750
0.3750 0.8751 0.3750
0.7500 0.7500 0.7500
0.0000 0.0000 0.0000
```